Mg2Sc3Cd7: optimized geometry, PBE.

Results
N(E_F) = 6.24 states/eV/cell
ΔH_f (0 K) = -0.069 eV/atom
density = 5.8 Mg/m³
final energy = -29.42 eV/cell
SG = P2/m, No. 10

Cell and atoms, written as extended XYZ:
```
12
Lattice="4.938 0.000 0.000 0.000 4.894 -0.549 0.000 -1.159 11.694" Properties=species:S:1:pos:R:3 pbc="T T T"
Cd 0.000 2.647 1.511
Cd 2.469 0.195 1.753
Cd 2.469 3.158 6.042
Cd 0.000 1.088 9.635
Cd 0.000 0.000 0.000
Cd 2.469 0.576 5.104
Cd 2.469 3.539 9.392
Sc 0.000 3.339 7.638
Sc 0.000 0.396 3.508
Sc 2.469 2.447 -0.274
Mg 2.469 0.907 7.990
Mg 2.469 2.828 3.156
```